No. 1
Density functional theory data (PBE-GGA) for an optimized crystal structure of Tl2IrRu.

```
Tl2IrRu
1.0
3.313 0.000 0.000
0.000 3.313 0.000
0.000 0.000 6.624
Ir Ru Tl
1 1 2
direct
0.500 0.500 0.250
0.500 0.500 0.750
0.000 0.000 0.996
0.000 0.000 0.504
```

## Properties
**E_form**: 2.40 eV per formula unit
**D(E_F)**: 0.74 states/eV per atom
**Relative energy among the computed polymorphs**: 177 meV per atom
**Total moment**: 0.00 μB per formula unit



No. 2
Density functional theory data (PBE-GGA) for an optimized crystal structure of TlIrRu3.

```
TlIrRu3
1.0
-2.771 3.514 -1.571
-3.840 -2.657 0.831
-0.264 1.757 4.397
Ru Tl Ir
3 1 1
direct
0.000 0.500 0.000
0.000 0.000 0.500
0.500 0.000 0.000
0.500 0.500 0.500
0.000 0.000 0.000
```

## Properties
**E_form**: 7.74 eV per formula unit
**D(E_F)**: 1.71 states/eV per atom
**Relative energy among the computed polymorphs**: 0 meV per atom
**Total moment**: 1.33 μB per formula unit



Question: Among the records above, which one has the lowest relative energy among the computed polymorphs?
Answer: TlIrRu3



Question: Number 2 is which compound?
Answer: TlIrRu3



Question: Which formula does entry 1 have?
Answer: Tl2IrRu